Record 1
VASP calculation (PBE) on an optimized crystal structure of Rb3Li2MgF9.

Cell lengths 5.863, 5.863, 7.309 Å; angles 90.00, 90.00, 120.00 degrees
Element x y z (fractional)
1 Rb 0.000 0.000 0.000
2 Rb 0.333 0.667 0.674
3 Rb 0.667 0.333 0.326
4 Li 0.333 0.667 0.182
5 Li 0.667 0.333 0.818
6 Mg 0.000 0.000 0.500
7 F 0.000 0.500 0.000
8 F 0.162 0.325 0.341
9 F 0.162 0.838 0.341
10 F 0.325 0.162 0.659
11 F 0.500 0.000 0.000
12 F 0.500 0.500 0.000
13 F 0.675 0.838 0.341
14 F 0.838 0.162 0.659
15 F 0.838 0.675 0.659

Calculated density = 3.553 Mg/m³
Raw total energy = -63.828 eV per cell
Uncorrected formation energy = -38.7 eV per formula unit

***

Record 2
VASP calculation (PBE) on an optimized crystal structure of RbLiMgF4.

Cell lengths 5.170, 5.732, 7.664 Å; angles 90.00, 102.33, 90.00 degrees
Element x y z (fractional)
1 Rb 0.196 0.250 0.113
2 Rb 0.804 0.750 0.887
3 Li 0.139 0.750 0.525
4 Li 0.861 0.250 0.475
5 Mg 0.375 0.250 0.684
6 Mg 0.625 0.750 0.316
7 F 0.113 0.014 0.677
8 F 0.113 0.486 0.677
9 F 0.362 0.750 0.108
10 F 0.497 0.250 0.469
11 F 0.503 0.750 0.531
12 F 0.638 0.250 0.892
13 F 0.887 0.514 0.323
14 F 0.887 0.986 0.323

Calculated density = 2.885 Mg/m³
Raw total energy = -66.542 eV per cell
Uncorrected formation energy = -21.3 eV per formula unit

***

Record 3
VASP calculation (PBE) on an optimized crystal structure of LiMgRhF6.

Cell lengths 4.718, 4.718, 9.312 Å; angles 90.00, 90.00, 90.00 degrees
Element x y z (fractional)
1 Li 0.000 0.000 0.000
2 Li 0.500 0.500 0.500
3 Mg 0.000 0.000 0.669
4 Mg 0.500 0.500 0.169
5 Rh 0.000 0.000 0.333
6 Rh 0.500 0.500 0.833
7 F 0.193 0.193 0.500
8 F 0.198 0.198 0.169
9 F 0.198 0.198 0.832
10 F 0.302 0.698 0.332
11 F 0.302 0.698 0.669
12 F 0.307 0.693 0.000
13 F 0.693 0.307 0.000
14 F 0.698 0.302 0.332
15 F 0.698 0.302 0.669
16 F 0.802 0.802 0.169
17 F 0.802 0.802 0.832
18 F 0.807 0.807 0.500

Calculated density = 3.976 Mg/m³
Raw total energy = -89.769 eV per cell
Uncorrected formation energy = -22.8 eV per formula unit

***

Record 4
VASP calculation (PBE) on an optimized crystal structure of LiMg2SnF8.

Cell lengths 4.873, 4.873, 6.357 Å; angles 90.00, 90.00, 90.15 degrees
Element x y z (fractional)
1 Li 0.000 0.000 0.000
2 Mg 0.500 0.500 0.232
3 Mg 0.500 0.500 0.768
4 Sn 0.000 0.000 0.500
5 F 0.206 0.206 0.245
6 F 0.206 0.206 0.755
7 F 0.307 0.693 0.000
8 F 0.319 0.681 0.500
9 F 0.681 0.319 0.500
10 F 0.693 0.307 0.000
11 F 0.794 0.794 0.245
12 F 0.794 0.794 0.755

Calculated density = 3.589 Mg/m³
Raw total energy = -59.778 eV per cell
Uncorrected formation energy = -35.7 eV per formula unit

***

Record 5
VASP calculation (PBE) on an optimized crystal structure of Li2MgSnF.

Cell lengths 4.229, 4.229, 4.590 Å; angles 90.00, 90.00, 90.00 degrees
Element x y z (fractional)
1 Li 0.000 0.500 0.000
2 Li 0.500 0.000 0.000
3 Mg 0.000 0.000 0.500
4 Sn 0.500 0.500 0.500
5 F 0.000 0.000 0.000

Calculated density = 3.558 Mg/m³
Raw total energy = -17.326 eV per cell
Uncorrected formation energy = -6.0 eV per formula unit

***

Record 6
VASP calculation (PBE) on an optimized crystal structure of LiMgTiF6.

Cell lengths 5.226, 5.226, 9.022 Å; angles 90.00, 90.00, 120.00 degrees
Element x y z (fractional)
1 Li 0.000 0.000 0.000
2 Li 0.000 0.000 0.500
3 Mg 0.333 0.667 0.250
4 Mg 0.667 0.333 0.750
5 Ti 0.333 0.667 0.750
6 Ti 0.667 0.333 0.250
7 F 0.003 0.348 0.633
8 F 0.003 0.655 0.867
9 F 0.345 0.348 0.867
10 F 0.345 0.997 0.633
11 F 0.348 0.003 0.133
12 F 0.348 0.345 0.367
13 F 0.652 0.655 0.633
14 F 0.652 0.997 0.867
15 F 0.655 0.003 0.367
16 F 0.655 0.652 0.133
17 F 0.997 0.345 0.133
18 F 0.997 0.652 0.367

Calculated density = 3.006 Mg/m³
Raw total energy = -103.743 eV per cell
Uncorrected formation energy = -29.2 eV per formula unit

***

Record 7
VASP calculation (PBE) on an optimized crystal structure of Li2MgTlF.

Cell lengths 4.463, 4.463, 4.175 Å; angles 90.00, 90.00, 90.00 degrees
Element x y z (fractional)
1 Li 0.000 0.500 0.000
2 Li 0.500 0.000 0.000
3 Mg 0.000 0.000 0.500
4 Tl 0.500 0.500 0.500
5 F 0.000 0.000 0.000

Calculated density = 5.222 Mg/m³
Raw total energy = -15.149 eV per cell
Uncorrected formation energy = -5.5 eV per formula unit

***

Record 8
VASP calculation (PBE) on an optimized crystal structure of LiMgTlF6.

Cell lengths 4.889, 4.889, 9.710 Å; angles 90.00, 90.00, 90.00 degrees
Element x y z (fractional)
1 Li 0.000 0.000 0.000
2 Li 0.500 0.500 0.500
3 Mg 0.000 0.000 0.667
4 Mg 0.500 0.500 0.167
5 Tl 0.000 0.000 0.333
6 Tl 0.500 0.500 0.833
7 F 0.183 0.183 0.829
8 F 0.197 0.197 0.512
9 F 0.207 0.207 0.161
10 F 0.293 0.707 0.661
11 F 0.303 0.697 0.012
12 F 0.317 0.683 0.329
13 F 0.683 0.317 0.329
14 F 0.697 0.303 0.012
15 F 0.707 0.293 0.661
16 F 0.793 0.793 0.161
17 F 0.803 0.803 0.512
18 F 0.817 0.817 0.829

Calculated density = 5.002 Mg/m³
Raw total energy = -81.920 eV per cell
Uncorrected formation energy = -23.9 eV per formula unit

***

Record 9
VASP calculation (PBE) on an optimized crystal structure of LiMgTl2F6.

Cell lengths 5.627, 5.627, 5.084 Å; angles 90.00, 90.00, 120.00 degrees
Element x y z (fractional)
1 Li 0.000 0.000 0.000
2 Mg 0.000 0.000 0.500
3 Tl 0.333 0.667 0.792
4 Tl 0.667 0.333 0.208
5 F 0.158 0.317 0.251
6 F 0.158 0.842 0.251
7 F 0.317 0.158 0.749
8 F 0.683 0.842 0.251
9 F 0.842 0.158 0.749
10 F 0.842 0.683 0.749

Calculated density = 6.599 Mg/m³
Raw total energy = -43.394 eV per cell
Uncorrected formation energy = -23.9 eV per formula unit

***

Record 10
VASP calculation (PBE) on an optimized crystal structure of Li3Mg4TlF12.

Cell lengths 6.655, 6.655, 6.655 Å; angles 109.47, 109.47, 109.47 degrees
Element x y z (fractional)
1 Li 0.000 0.500 0.500
2 Li 0.500 0.000 0.500
3 Li 0.500 0.500 0.000
4 Mg 0.000 0.000 0.500
5 Mg 0.000 0.500 0.000
6 Mg 0.500 0.000 0.000
7 Mg 0.500 0.500 0.500
8 Tl 0.000 0.000 0.000
9 F 0.125 0.812 0.313
10 F 0.188 0.313 0.500
11 F 0.188 0.687 0.875
12 F 0.313 0.125 0.812
13 F 0.313 0.500 0.188
14 F 0.500 0.188 0.313
15 F 0.500 0.812 0.687
16 F 0.687 0.500 0.812
17 F 0.687 0.875 0.188
18 F 0.812 0.313 0.125
19 F 0.812 0.687 0.500
20 F 0.875 0.188 0.687

Calculated density = 4.028 Mg/m³
Raw total energy = -99.806 eV per cell
Uncorrected formation energy = -62.9 eV per formula unit

***

Record 11
VASP calculation (PBE) on an optimized crystal structure of LiMg2Tl3F9.

Cell lengths 5.782, 5.782, 7.111 Å; angles 90.00, 90.00, 120.00 degrees
Element x y z (fractional)
1 Li 0.000 0.000 0.000
2 Mg 0.333 0.667 0.663
3 Mg 0.667 0.333 0.337
4 Tl 0.000 0.000 0.500
5 Tl 0.333 0.667 0.142
6 Tl 0.667 0.333 0.858
7 F 0.000 0.500 0.500
8 F 0.171 0.342 0.830
9 F 0.171 0.829 0.830
10 F 0.342 0.171 0.170
11 F 0.500 0.000 0.500
12 F 0.500 0.500 0.500
13 F 0.658 0.829 0.830
14 F 0.829 0.171 0.170
15 F 0.829 0.658 0.170

Calculated density = 6.773 Mg/m³
Raw total energy = -67.902 eV per cell
Uncorrected formation energy = -38.9 eV per formula unit

***

Record 12
VASP calculation (PBE) on an optimized crystal structure of LiTmMgF6.

Cell lengths 4.877, 4.877, 9.608 Å; angles 90.00, 90.00, 90.00 degrees
Element x y z (fractional)
1 Li 0.000 0.000 0.000
2 Li 0.500 0.500 0.500
3 Tm 0.000 0.000 0.665
4 Tm 0.500 0.500 0.165
5 Mg 0.000 0.000 0.330
6 Mg 0.500 0.500 0.830
7 F 0.189 0.189 0.170
8 F 0.195 0.195 0.489
9 F 0.208 0.208 0.831
10 F 0.292 0.708 0.331
11 F 0.305 0.695 0.989
12 F 0.311 0.689 0.670
13 F 0.689 0.311 0.670
14 F 0.695 0.305 0.989
15 F 0.708 0.292 0.331
16 F 0.792 0.792 0.831
17 F 0.805 0.805 0.489
18 F 0.811 0.811 0.170

Calculated density = 4.566 Mg/m³
Raw total energy = -104.484 eV per cell
Uncorrected formation energy = -33.0 eV per formula unit